1.
First-principles (PBE) data for a geometry-optimized Ca2AsIr structure, as listed in the Alexandria database.

Properties
V: 21.54 Å³/atom
Uncorrected energy: -19.49 eV/cell
SG: No. 123
Mass density: 6.69 g cm⁻³
E_form: -494 meV per atom

```
4
Lattice="3.2720 0.0000 0.0000 0.0000 3.2720 0.0000 0.0000 0.0000 8.0481" Properties=species:S:1:pos:R:3 pbc="T T T"
Ca 0.0000 0.0000 1.8608
Ca 0.0000 0.0000 6.1872
As 1.6360 1.6360 4.0240
Ir 1.6360 1.6360 0.0000
```


2.
First-principles (PBE) data for a geometry-optimized Ca3As5Ir6 structure, as listed in the Alexandria database.

Properties
V: 18.33 Å³/atom
Uncorrected energy: -181.55 eV/cell
SG: No. 59
Mass density: 10.66 g cm⁻³
E_form: -597 meV per atom

```
28
Lattice="4.0485 0.0000 0.0000 0.0000 12.5580 0.0000 0.0000 0.0000 10.0959" Properties=species:S:1:pos:R:3 pbc="T T T"
Ca 1.0121 1.1898 2.5083
Ca 1.0121 5.0892 2.5083
Ca 1.0121 9.4185 2.6358
Ca 3.0364 3.1395 7.4602
Ca 3.0364 7.4689 7.5877
Ca 3.0364 11.3682 7.5877
As 1.0121 0.9558 8.5352
As 1.0121 5.3232 8.5352
As 1.0121 7.9261 5.2704
As 1.0121 9.4185 8.8342
As 1.0121 10.9109 5.2704
As 3.0364 1.6471 4.8256
As 3.0364 3.1395 1.2617
As 3.0364 4.6319 4.8256
As 3.0364 7.2348 1.5607
As 3.0364 11.6022 1.5607
Ir 1.0121 0.6126 6.0981
Ir 1.0121 3.1395 4.9782
Ir 1.0121 3.1395 9.9061
Ir 1.0121 5.6665 6.0981
Ir 1.0121 7.3164 0.1154
Ir 1.0121 11.5206 0.1154
Ir 3.0364 1.0374 9.9806
Ir 3.0364 5.2416 9.9806
Ir 3.0364 6.8916 3.9978
Ir 3.0364 9.4185 0.1898
Ir 3.0364 9.4185 5.1178
Ir 3.0364 11.9455 3.9978
```


3.
First-principles (PBE) data for a geometry-optimized Ca4AsIr structure, as listed in the Alexandria database.

Properties
V: 25.21 Å³/atom
Uncorrected energy: -18.55 eV/cell
SG: No. 216
Mass density: 4.69 g cm⁻³
E_form: 494 meV per atom

```
6
Lattice="0.0000 4.2287 4.2287 4.2287 0.0000 4.2287 4.2287 4.2287 0.0000" Properties=species:S:1:pos:R:3 pbc="T T T"
Ca 1.0510 1.0510 1.0510
Ca 3.1777 3.1777 1.0510
Ca 3.1777 1.0510 3.1777
Ca 1.0510 3.1777 3.1777
As 4.2287 4.2287 4.2287
Ir 6.3430 6.3430 6.3430
```


4.
First-principles (PBE) data for a geometry-optimized Ca2AsIr structure, as listed in the Alexandria database.

Properties
V: 23.28 Å³/atom
Uncorrected energy: -39.77 eV/cell
SG: No. 8
Mass density: 6.19 g cm⁻³
E_form: -593 meV per atom

```
8
Lattice="12.6385 0.0000 0.0000 0.0000 3.3459 0.0000 -1.7795 0.0000 4.4040" Properties=species:S:1:pos:R:3 pbc="T T T"
Ca 0.0000 0.0000 0.0000
Ca 1.4218 0.0000 3.1368
Ca 6.3193 1.6730 0.0000
Ca 7.7411 1.6730 3.1368
As 4.3390 0.0000 1.7618
As 10.6583 1.6730 1.7618
Ir 2.6323 1.6730 1.0643
Ir 8.9516 0.0000 1.0643
```


5.
First-principles (PBE) data for a geometry-optimized Ca2AsIr structure, as listed in the Alexandria database.

Properties
V: 19.69 Å³/atom
Uncorrected energy: -75.58 eV/cell
SG: No. 216
Mass density: 7.32 g cm⁻³
E_form: -346 meV per atom

```
16
Lattice="6.8039 0.0000 0.0000 0.0000 6.8039 0.0000 0.0000 0.0000 6.8039" Properties=species:S:1:pos:R:3 pbc="T T T"
Ca 0.0000 0.0000 0.0000
Ca 0.0000 3.4020 3.4020
Ca 1.7010 1.7010 1.7010
Ca 1.7010 5.1029 5.1029
Ca 3.4020 0.0000 3.4020
Ca 3.4020 3.4020 0.0000
Ca 5.1029 1.7010 5.1029
Ca 5.1029 5.1029 1.7010
As 0.0000 0.0000 3.4020
As 0.0000 3.4020 0.0000
As 3.4020 0.0000 0.0000
As 3.4020 3.4020 3.4020
Ir 1.7010 1.7010 5.1029
Ir 1.7010 5.1029 1.7010
Ir 5.1029 1.7010 1.7010
Ir 5.1029 5.1029 5.1029
```


6.
First-principles (PBE) data for a geometry-optimized CaAsIr2 structure, as listed in the Alexandria database.

Properties
V: 16.92 Å³/atom
Uncorrected energy: -48.60 eV/cell
SG: No. 119
Mass density: 12.26 g cm⁻³
E_form: 19 meV per atom

```
8
Lattice="3.9592 0.0000 0.0000 0.0000 3.9592 0.0000 0.0000 0.0000 8.6336" Properties=species:S:1:pos:R:3 pbc="T T T"
Ca 0.0000 0.0000 0.0000
Ca 1.9796 1.9796 4.3168
As 0.0000 1.9796 2.1584
As 1.9796 0.0000 6.4752
Ir 0.0000 0.0000 4.3168
Ir 0.0000 1.9796 6.4752
Ir 1.9796 0.0000 2.1584
Ir 1.9796 1.9796 0.0000
```


7.
First-principles (PBE) data for a geometry-optimized CaAsIr3 structure, as listed in the Alexandria database.

Properties
V: 19.89 Å³/atom
Uncorrected energy: -31.63 eV/cell
SG: No. 221
Mass density: 11.55 g cm⁻³
E_form: 322 meV per atom

```
5
Lattice="4.6333 0.0000 0.0000 0.0000 4.6333 0.0000 0.0000 0.0000 4.6333" Properties=species:S:1:pos:R:3 pbc="T T T"
Ca 0.0000 0.0000 0.0000
As 2.3167 2.3167 2.3167
Ir 0.0000 2.3167 2.3167
Ir 2.3167 0.0000 2.3167
Ir 2.3167 2.3167 0.0000
```


8.
First-principles (PBE) data for a geometry-optimized Ca2AsIr structure, as listed in the Alexandria database.

Properties
V: 23.08 Å³/atom
Uncorrected energy: -55.27 eV/cell
SG: No. 166
Mass density: 6.25 g cm⁻³
E_form: -227 meV per atom

```
12
Lattice="3.5453 0.0000 0.0000 -1.7726 3.0703 0.0000 0.0000 0.0000 25.4419" Properties=species:S:1:pos:R:3 pbc="T T T"
Ca 0.0000 0.0000 6.2865
Ca 0.0000 0.0000 19.1554
Ca 0.0000 2.0469 10.6748
Ca 0.0000 2.0469 23.2478
Ca 1.7726 1.0234 2.1941
Ca 1.7726 1.0234 14.7671
As 0.0000 0.0000 0.0000
As 0.0000 2.0469 16.9613
As 1.7726 1.0234 8.4806
Ir 0.0000 0.0000 12.7210
Ir 0.0000 2.0469 4.2403
Ir 1.7726 1.0234 21.2016
```


Which value of mass density does entry 1 give? 6.69 g cm⁻³